TeRh2O2 after structural relaxation. Source: the Alexandria database, functional PBE-GGA.

Values from the calculation:
The uncorrected formation energy comes out at -0.20 eV per formula unit. The space group is I4/mmm. The calculation puts the density of states at the Fermi level at 3.3 states/eV/f.u. The energy above the most stable polymorph in this dataset is 0 meV/atom. The calculation puts the energy at -28.0 eV per cell.

Structure (POSCAR):
```
TeRh2O2
1.0
3.610 0.000 0.000
0.000 3.610 0.000
1.805 1.805 5.352
Te Rh O
1 2 2
direct
0.000 0.000 0.000
0.362 0.362 0.277
0.638 0.638 0.723
0.750 0.250 0.500
0.250 0.750 0.500
```



TeRh2O2 after structural relaxation. Source: the Alexandria database, functional PBE-GGA.

Values from the calculation:
The uncorrected formation energy comes out at 0.70 eV per formula unit. The space group is P4/mbm. The calculation puts the density of states at the Fermi level at 4.7 states/eV/f.u. The energy above the most stable polymorph in this dataset is 180 meV/atom. The calculation puts the energy at -54.1 eV per cell.

Structure (POSCAR):
```
TeRh2O2
1.0
-6.777 -0.239 1.901
-1.617 -3.036 -6.146
0.433 -2.672 1.206
Te O Rh
2 4 4
direct
0.500 0.500 0.000
0.000 0.000 0.000
0.768 0.268 0.500
0.732 0.768 0.500
0.268 0.232 0.500
0.232 0.732 0.500
0.130 0.370 0.000
0.370 0.870 0.000
0.870 0.630 0.000
0.630 0.130 0.000
```



TeRhO3 after structural relaxation. Source: the Alexandria database, functional PBE-GGA.

Values from the calculation:
The uncorrected formation energy comes out at 0.19 eV per formula unit. The space group is Pm-3m. The calculation puts the density of states at the Fermi level at 4.5 states/eV/f.u. The calculation puts the energy at -25.2 eV per cell.

Structure (POSCAR):
```
TeRhO3
1.0
4.062 0.000 0.000
0.000 4.062 0.000
0.000 0.000 4.062
O Te Rh
3 1 1
direct
0.000 0.000 0.500
0.500 0.000 0.000
0.000 0.500 0.000
0.000 0.000 0.000
0.500 0.500 0.500
```



TeRh3O after structural relaxation. Source: the Alexandria database, functional PBE-GGA.

Values from the calculation:
The uncorrected formation energy comes out at 1.00 eV per formula unit. The space group is Pm-3m. The calculation puts the density of states at the Fermi level at 6.2 states/eV/f.u. The calculation puts the energy at -29.2 eV per cell.

Structure (POSCAR):
```
TeRh3O
1.0
4.247 0.000 0.000
0.000 4.247 0.000
0.000 0.000 4.247
O Rh Te
1 3 1
direct
0.000 0.000 0.000
0.500 0.000 0.000
0.000 0.000 0.500
0.000 0.500 0.000
0.500 0.500 0.500
```



Te2RhO after structural relaxation. Source: the Alexandria database, functional PBE-GGA.

Values from the calculation:
The uncorrected formation energy comes out at -1.65 eV per formula unit. The space group is R-3m. The calculation puts the density of states at the Fermi level at 1.7 states/eV/f.u. The calculation puts the energy at -20.2 eV per cell.

Structure (POSCAR):
```
Te2RhO
1.0
2.391 0.000 6.503
-1.195 2.070 6.503
-1.195 -2.070 6.503
Te O Rh
2 1 1
direct
0.896 0.896 0.896
0.104 0.104 0.104
0.000 0.000 0.000
0.500 0.500 0.500
```



Te2RhO after structural relaxation. Source: the Alexandria database, functional PBE-GGA.

Values from the calculation:
The uncorrected formation energy comes out at -0.44 eV per formula unit. The space group is I-42d. The calculation puts the density of states at the Fermi level at 2.3 states/eV/f.u. The calculation puts the energy at -38.1 eV per cell.

Structure (POSCAR):
```
Te2RhO
1.0
5.423 0.000 0.000
0.000 5.423 0.000
2.711 2.711 6.149
O Rh Te
2 2 4
direct
0.500 0.500 0.000
0.250 0.750 0.500
0.750 0.250 0.500
0.000 0.000 0.000
0.599 0.125 0.250
0.875 0.849 0.750
0.375 0.401 0.750
0.151 0.625 0.250
```



Te3RhO after structural relaxation. Source: the Alexandria database, functional PBE-GGA.

Values from the calculation:
The uncorrected formation energy comes out at 2.31 eV per formula unit. The space group is Pm-3m. The calculation puts the density of states at the Fermi level at 6.0 states/eV/f.u. The energy above the most stable polymorph in this dataset is 0 meV/atom. The calculation puts the energy at -19.4 eV per cell.

Structure (POSCAR):
```
Te3RhO
1.0
4.722 0.000 0.000
0.000 4.722 0.000
0.000 0.000 4.722
Te O Rh
3 1 1
direct
0.000 0.500 0.000
0.500 0.000 0.000
0.000 0.000 0.500
0.000 0.000 0.000
0.500 0.500 0.500
```



Te3RhO after structural relaxation. Source: the Alexandria database, functional PBE-GGA.

Values from the calculation:
The uncorrected formation energy comes out at 4.21 eV per formula unit. The space group is Pm-3m. The calculation puts the density of states at the Fermi level at 9.5 states/eV/f.u. The energy above the most stable polymorph in this dataset is 380 meV/atom. The calculation puts the energy at -17.5 eV per cell.

Structure (POSCAR):
```
Te3RhO
1.0
5.142 0.000 0.000
0.000 5.142 0.000
0.000 0.000 5.142
Te Rh O
3 1 1
direct
0.000 0.500 0.000
0.000 0.000 0.500
0.500 0.000 0.000
0.000 0.000 0.000
0.500 0.500 0.500
```